The following is a DFT calculation (PBE-GGA) of a relaxed Ba6Bi2Se3I crystal.

Computed properties:
Volume in Å³ per cell: 1005.7
E in eV for the cell shown: -99.64
E_form (uncorrected) in meV/atom: -1543
Density of states at the Fermi level in states/eV per atom: 0.49

a b c (Å): 21.626 4.705 10.202
angles (deg): 90.00 104.36 90.00
Space group C2/m (No. 12)
Asymmetric unit:
Ba: 0.003 0.000 0.225 [4 per cell]
Ba: 0.166 0.500 0.096 [4 per cell]
Ba: 0.175 0.500 0.573 [4 per cell]
Bi: 0.163 0.000 0.827 [4 per cell]
Se: 0.000 0.500 0.000 [2 per cell]
Se: 0.163 0.000 0.335 [4 per cell]
I: 0.000 0.500 0.500 [2 per cell]